1.
Density functional theory data (PBE) for crystalline SrLiSc2 at its relaxed geometry.

Formation energy from the elements   0.33 eV/atom
Fermi-level density of states   5.96 states/eV per cell
Size of the total moment   0.2857 μB/atom
Relative energy among the computed polymorphs   0.565 eV/f.u.

```
4
Lattice="3.4264 0.0000 0.0000 0.0000 5.7442 0.0000 -0.8948 0.0000 5.8970" Properties=species:S:1:pos:R:3 pbc="T T T"
Sr 0.0000 0.0000 0.0000
Li 1.2658 0.0000 2.9485
Sc 0.3825 2.8721 4.2849
Sc 2.1491 2.8721 1.6121
```

***

2.
Density functional theory data (PBE) for crystalline SrLi2Sc2 at its relaxed geometry.

Formation energy from the elements   0.29 eV/atom
Fermi-level density of states   10.13 states/eV per cell
Size of the total moment   0.0000 μB/atom
Relative energy among the computed polymorphs   0.000 eV/f.u.

```
10
Lattice="8.9152 0.0000 0.0000 0.0000 8.9152 0.0000 0.0000 0.0000 3.3497" Properties=species:S:1:pos:R:3 pbc="T T T"
Sr 0.0000 0.0000 0.0000
Sr 4.4576 4.4576 0.0000
Li 1.4935 2.9641 1.6749
Li 2.9641 7.4217 1.6749
Li 5.9511 1.4935 1.6749
Li 7.4217 5.9511 1.6749
Sc 1.0904 5.5480 0.0000
Sc 3.3672 1.0904 0.0000
Sc 5.5480 7.8248 0.0000
Sc 7.8248 3.3672 0.0000
```

***

3.
Density functional theory data (PBE) for crystalline SrLiSc2 at its relaxed geometry.

Formation energy from the elements   0.34 eV/atom
Fermi-level density of states   5.40 states/eV per cell
Size of the total moment   0.1713 μB/atom
Relative energy among the computed polymorphs   0.589 eV/f.u.

```
4
Lattice="4.5562 0.0000 0.0000 0.0000 4.5562 0.0000 0.0000 0.0000 5.6053" Properties=species:S:1:pos:R:3 pbc="T T T"
Sr 0.0000 0.0000 0.0000
Li 2.2781 2.2781 0.0000
Sc 0.0000 2.2781 2.8027
Sc 2.2781 0.0000 2.8027
```

***

4.
Density functional theory data (PBE) for crystalline SrLi2Sc at its relaxed geometry.

Formation energy from the elements   0.37 eV/atom
Fermi-level density of states   6.41 states/eV per cell
Size of the total moment   0.0004 μB/atom
Relative energy among the computed polymorphs   0.718 eV/f.u.

```
4
Lattice="0.0000 3.8575 3.8575 3.8575 0.0000 3.8575 3.8575 3.8575 0.0000" Properties=species:S:1:pos:R:3 pbc="T T T"
Sr 0.0000 0.0000 0.0000
Li 1.9287 1.9287 1.9287
Li 3.8575 3.8575 3.8575
Sc 5.7862 5.7862 5.7862
```

***

5.
Density functional theory data (PBE) for crystalline SrLiSc3 at its relaxed geometry.

Formation energy from the elements   0.49 eV/atom
Fermi-level density of states   9.93 states/eV per cell
Size of the total moment   0.0001 μB/atom
Relative energy among the computed polymorphs   0.000 eV/f.u.

```
5
Lattice="5.2447 0.0000 0.0000 0.0000 5.2447 0.0000 0.0000 0.0000 5.2447" Properties=species:S:1:pos:R:3 pbc="T T T"
Sr 0.0000 0.0000 0.0000
Li 2.6224 2.6224 2.6224
Sc 0.0000 2.6224 2.6224
Sc 2.6224 0.0000 2.6224
Sc 2.6224 2.6224 0.0000
```

***

6.
Density functional theory data (PBE) for crystalline SrLiSc at its relaxed geometry.

Formation energy from the elements   0.23 eV/atom
Fermi-level density of states   7.06 states/eV per cell
Size of the total moment   0.1204 μB/atom
Relative energy among the computed polymorphs   0.000 eV/f.u.

```
6
Lattice="3.7087 0.0000 0.0000 0.0000 3.7087 0.0000 0.0000 0.0000 13.7066" Properties=species:S:1:pos:R:3 pbc="T T T"
Sr 0.0000 0.0000 2.5540
Sr 0.0000 0.0000 11.1526
Li 0.0000 0.0000 6.8533
Li 1.8543 1.8543 0.0000
Sc 1.8543 1.8543 5.2941
Sc 1.8543 1.8543 8.4125
```

***

7.
Density functional theory data (PBE) for crystalline SrLiSc2 at its relaxed geometry.

Formation energy from the elements   0.47 eV/atom
Fermi-level density of states   7.51 states/eV per cell
Size of the total moment   0.2697 μB/atom
Relative energy among the computed polymorphs   1.135 eV/f.u.

```
4
Lattice="1.6898 0.9756 11.6279 -1.6898 0.9756 11.6279 0.0000 -1.9512 11.6279" Properties=species:S:1:pos:R:3 pbc="T T T"
Sr 0.0000 0.0000 0.0000
Li 0.0000 0.0000 17.4419
Sc 0.0000 0.0000 3.3207
Sc 0.0000 0.0000 31.5632
```

***

8.
Density functional theory data (PBE) for crystalline Sr2LiSc at its relaxed geometry.

Formation energy from the elements   0.34 eV/atom
Fermi-level density of states   6.36 states/eV per cell
Size of the total moment   0.1330 μB/atom
Relative energy among the computed polymorphs   0.504 eV/f.u.

```
4
Lattice="-2.5498 2.5498 5.7644 2.5498 -2.5498 5.7644 2.5498 2.5498 -5.7644" Properties=species:S:1:pos:R:3 pbc="T T T"
Sr 0.0000 0.0000 0.0000
Sr 0.0000 2.5498 2.8822
Li 2.5498 0.0000 2.8822
Sc 0.0000 0.0000 5.7644
```

***

9.
Density functional theory data (PBE) for crystalline SrLiSc2 at its relaxed geometry.

Formation energy from the elements   0.83 eV/atom
Fermi-level density of states   11.67 states/eV per cell
Size of the total moment   0.0002 μB/atom
Relative energy among the computed polymorphs   2.552 eV/f.u.

```
8
Lattice="-2.6173 2.6173 10.8879 2.6173 -2.6173 10.8879 2.6173 2.6173 -10.8879" Properties=species:S:1:pos:R:3 pbc="T T T"
Sr 2.6173 1.3086 2.7220
Sr 0.0000 1.3086 8.1660
Li 2.6173 -1.3086 8.1660
Li 0.0000 3.9259 2.7220
Sc 0.0000 0.0000 0.0000
Sc 1.3086 1.3086 -5.4440
Sc 1.3086 -1.3086 5.4440
Sc 0.0000 2.6173 0.0000
```

***

10.
Density functional theory data (PBE) for crystalline SrLiSc at its relaxed geometry.

Formation energy from the elements   0.26 eV/atom
Fermi-level density of states   4.52 states/eV per cell
Size of the total moment   0.2652 μB/atom
Relative energy among the computed polymorphs   0.107 eV/f.u.

```
3
Lattice="-1.8793 1.8793 6.5497 1.8793 -1.8793 6.5497 1.8793 1.8793 -6.5497" Properties=species:S:1:pos:R:3 pbc="T T T"
Sr 0.0000 0.0000 0.0000
Li 0.0000 0.0000 4.2033
Sc 0.0000 0.0000 9.2275
```

***

11.
Density functional theory data (PBE) for crystalline SrLiSc2 at its relaxed geometry.

Formation energy from the elements   0.26 eV/atom
Fermi-level density of states   8.22 states/eV per cell
Size of the total moment   0.0065 μB/atom
Relative energy among the computed polymorphs   0.277 eV/f.u.

```
4
Lattice="-1.7782 2.7288 5.8629 1.7782 -2.7288 5.8629 1.7782 2.7288 -5.8629" Properties=species:S:1:pos:R:3 pbc="T T T"
Sr 0.0000 0.0000 0.0000
Li 0.0000 0.0000 5.8629
Sc 1.7782 0.0000 3.2373
Sc 0.0000 2.7288 2.6256
```

***

12.
Density functional theory data (PBE) for crystalline Sr2LiSc at its relaxed geometry.

Formation energy from the elements   0.36 eV/atom
Fermi-level density of states   6.39 states/eV per cell
Size of the total moment   0.0090 μB/atom
Relative energy among the computed polymorphs   0.595 eV/f.u.

```
4
Lattice="0.0000 4.1792 4.1792 4.1792 0.0000 4.1792 4.1792 4.1792 0.0000" Properties=species:S:1:pos:R:3 pbc="T T T"
Sr 0.0000 0.0000 0.0000
Sr 2.0896 2.0896 2.0896
Li 4.1792 4.1792 4.1792
Sc 6.2688 6.2688 6.2688
```

***

13.
Density functional theory data (PBE) for crystalline Sr2Li2Sc at its relaxed geometry.

Formation energy from the elements   0.23 eV/atom
Fermi-level density of states   11.16 states/eV per cell
Size of the total moment   0.0001 μB/atom
Relative energy among the computed polymorphs   0.000 eV/f.u.

```
10
Lattice="8.4150 0.0000 0.0000 0.0000 8.4150 0.0000 0.0000 0.0000 4.8319" Properties=species:S:1:pos:R:3 pbc="T T T"
Sr 1.5338 2.6737 0.0000
Sr 2.6737 6.8812 0.0000
Sr 5.7412 1.5338 0.0000
Sr 6.8812 5.7412 0.0000
Li 1.0162 5.2237 2.4160
Li 3.1912 1.0162 2.4160
Li 5.2237 7.3987 2.4160
Li 7.3987 3.1912 2.4160
Sc 0.0000 0.0000 2.4160
Sc 4.2075 4.2075 2.4160
```

***

14.
Density functional theory data (PBE) for crystalline Sr2LiSc2 at its relaxed geometry.

Formation energy from the elements   0.47 eV/atom
Fermi-level density of states   10.72 states/eV per cell
Size of the total moment   0.3337 μB/atom

```
10
Lattice="9.8907 0.0000 0.0000 0.0000 9.8907 0.0000 0.0000 0.0000 3.8787" Properties=species:S:1:pos:R:3 pbc="T T T"
Sr 1.8348 3.1106 0.0000
Sr 3.1106 8.0559 0.0000
Sr 6.7801 1.8348 0.0000
Sr 8.0559 6.7801 0.0000
Li 0.0000 0.0000 1.9393
Li 4.9453 4.9453 1.9393
Sc 1.0315 5.9768 1.9393
Sc 3.9138 1.0315 1.9393
Sc 5.9768 8.8592 1.9393
Sc 8.8592 3.9138 1.9393
```